# Dy2VFeO6 PBE with a Hubbard U relaxed
data_Dy2VFeO6
_space_group_name_H-M_alt 'P 1 21/c 1'
_space_group_IT_number 14
_space_group_name_Hall '-P 2ybc'
_cell_length_a 6.604
_cell_length_b 6.127
_cell_length_c 9.980
_cell_angle_alpha 90.00
_cell_angle_beta 129.36
_cell_angle_gamma 90.00
loop_
_atom_site_label
_atom_site_type_symbol
_atom_site_fract_x
_atom_site_fract_y
_atom_site_fract_z
Dy1 Dy 0.159 0.052 0.408
V1 V 0.500 0.000 0.000
Fe1 Fe 0.000 0.000 0.000
O1 O 0.049 0.207 0.561
O2 O 0.117 0.063 0.871
O3 O 0.436 0.707 0.942
# - energy above the lowest structure with this stoichiometry (eV/f.u.) = 0.79
# - total moment (μB/cell) = 10.0
# - E (eV per atom) = -7.680